This record from Alexandria via LeMat-Bulk describes an optimized crystal structure of ThNbI. The functional is GGA-PBE.

As for the formation energy (no corrections): 0.08 eV per atom. As for the space-group type: C2/m. The calculation puts the total energy at -6.26 eV per atom. As for the density: 8998 kg/m³.

a b c (Å): 8.7346 8.7346 5.3572
angles (deg): 91.26 91.26 24.09
Positions (direct):
Th 0.1206 0.1206 0.2619
Th 0.8794 0.8794 0.7381
Nb 0.2308 0.2308 0.8208
Nb 0.7692 0.7692 0.1792
I 0.4273 0.4273 0.2393
I 0.5727 0.5727 0.7607



This record from Alexandria via LeMat-Bulk describes an optimized crystal structure of ThNbI2. The functional is GGA-PBE.

As for the formation energy (no corrections): 0.19 eV per atom. As for the space-group type: R-3m. The calculation puts the total energy at -4.96 eV per atom. As for the density: 8096 kg/m³.

a b c (Å): 10.6657 10.6657 10.6657
angles (deg): 19.54 19.54 19.54
Positions (direct):
Th 0.0000 0.0000 0.0000
Nb 0.5000 0.5000 0.5000
I 0.4112 0.4112 0.4112
I 0.5888 0.5888 0.5888